# 1
Below is a PBEsol-optimized structure of MnRe2Hg, with properties calculated at the SCAN level.

## Properties
formation enthalpy at 0 K	0.62	eV/atom

a b c (Å): 2.8148 4.8197 4.8197
angles (deg): 112.96 90.00 90.00
Last column: magnetic moment on the atom in μB.
Fractional positions:
1 Re 0.0000 0.5000 0.0000  -0.38
2 Re 0.0000 0.0000 0.5000  -0.38
3 Mn 0.5000 0.5000 0.5000  3.46
4 Hg 0.5000 0.0000 0.0000  0.00



# 2
Below is a PBEsol-optimized structure of BaTa2Mo, with properties calculated at the SCAN level.

## Properties
formation enthalpy at 0 K	1.55	eV/atom

a b c (Å): 4.0344 4.0344 5.0106
angles (deg): 90.00 90.00 90.00
Fractional positions:
1 Ba 0.5000 0.5000 0.5000
2 Ta 0.0000 0.5000 0.0000
3 Ta 0.5000 0.0000 0.0000
4 Mo 0.0000 0.0000 0.5000



# 3
Below is a PBEsol-optimized structure of Sr2ZrIr, with properties calculated at the SCAN level.

## Properties
formation enthalpy at 0 K	0.48	eV/atom
polymorph energy (0 for the lowest one)	0.000	eV/atom

a b c (Å): 3.3634 5.0033 5.9336
angles (deg): 90.00 99.60 90.00
Fractional positions:
1 Ir 0.5000 0.5000 0.5000
2 Sr 0.0840 0.0000 0.2693
3 Sr 0.9160 0.0000 0.7307
4 Zr 0.5000 0.5000 0.0000



# 4
Below is a PBEsol-optimized structure of Si2SbPOs, with properties calculated at the SCAN level.

## Properties
calculated total energy	-27.306	eV per atom

a b c (Å): 4.5044 4.5044 5.2321
angles (deg): 90.00 90.00 90.00
Fractional positions:
1 Sb 0.0000 0.0000 0.5000
2 Os 0.0000 0.0000 0.0000
3 P 0.5000 0.5000 0.5000
4 Si 0.5000 0.0000 0.0000
5 Si 0.0000 0.5000 0.0000



| no. | magnetization (μB per cell) |
| --- | --- |
| 1 | 2.7 |
| 2 | 0.0 |
| 3 | 0.0 |
| 4 | 0.0 |